[1]
Entry from the Alexandria database: an optimized crystal structure of LiB2C2 (PBE).

abc: 8.6067 8.8634 2.7266
angles: 90.00 90.00 116.58
Closest atoms and distances in Å follow each position.
Atoms (fractional coordinates):
B: 0.4571 0.6916 0.5000  3 C 1.55-1.57
B: 0.8162 0.5265 0.0000  3 C 1.54-1.58
Li: 0.2683 0.2825 0.5000  6 B 2.31-2.54, 5 C 2.33-2.36
B: 0.0368 0.7968 0.5000  3 C 1.54-1.58
C: 0.7413 0.4476 0.5000  3 B 1.54-1.57
Li: 0.7461 0.2369 0.0000  6 C 2.33-2.45, 6 B 2.36-2.48
B: 0.6954 0.9502 0.0000  3 C 1.56-1.57
B: 0.9614 0.1981 0.5000  3 C 1.55-1.58
C: 0.2101 0.9684 0.5000  3 B 1.58
C: 0.2655 0.5479 0.5000  3 B 1.55-1.57
B: 0.1869 0.4673 0.0000  3 C 1.55-1.58
C: 0.9620 0.7154 0.0000  3 B 1.54-1.58
C: 0.4591 0.2306 0.0000  3 B 1.56
B: 0.2969 0.0540 0.0000  3 C 1.56-1.58
C: 0.7814 0.0342 0.5000  3 B 1.57-1.58
B: 0.5473 0.3077 0.5000  3 C 1.56-1.57
Li: 0.9830 0.9841 0.0000  6 C 2.31-2.44, 6 B 2.35-2.49
Li: 0.2538 0.7607 0.0000  6 C 2.36-2.45, 6 B 2.40-2.50
C: 0.0434 0.2778 0.0000  3 B 1.55-1.58
C: 0.5377 0.7717 0.0000  3 B 1.55-1.56

Results
- Total magnetic moment: 0.0 μB/cell
- ΔE to the lowest computed polymorph: 0.0399 eV/atom
- Symmetry: No. 6
- DFT total energy: -135.46 eV/cell
- Energy of formation from the pure elements: -0.030 eV/atom



[2]
Entry from the Alexandria database: an optimized crystal structure of ZrCoN2 (PBE).

abc: 6.0656 6.0656 6.0656
angles: 32.10 32.10 32.10
Closest atoms and distances in Å follow each position.
Atoms (fractional coordinates):
Co: 0.0000 0.0000 0.0000  2 N 1.79
Zr: 0.5000 0.5000 0.5000  6 N 2.22
N: 0.8962 0.8962 0.8962  1 Co 1.79
N: 0.1038 0.1038 0.1038  1 Co 1.79

Results
- Total magnetic moment: 3.0 μB/cell
- Symmetry: No. 166
- DFT total energy: -34.30 eV/cell
- Formation energy from raw total energies: -498 meV/atom



[3]
Entry from the Alexandria database: an optimized crystal structure of Sc6GaP2S3 (PBE).

abc: 3.7045 7.5992 8.4173
angles: 103.63 102.71 90.00
Closest atoms and distances in Å follow each position.
Atoms (fractional coordinates):
Sc: 0.6706 0.5768 0.3413  3 P 2.60-2.61, 3 S 2.68-2.72
Sc: 0.3294 0.4232 0.6587  3 P 2.60-2.61, 3 S 2.68-2.72
P: 0.1661 0.3325 0.3323  6 Sc 2.60-2.64
Ga: 0.5000 0.0000 0.0000  6 Sc 2.69-2.70
P: 0.8339 0.6675 0.6677  6 Sc 2.60-2.64
Sc: 0.9997 0.7405 0.9994  3 S 2.60-2.68, 1 P 2.64, 2 Ga 2.70
S: 0.1677 0.8309 0.3354  6 Sc 2.61-2.69
S: 0.5000 0.5000 0.0000  6 Sc 2.60-2.72
S: 0.8323 0.1691 0.6646  6 Sc 2.61-2.69
Sc: 0.6685 0.0886 0.3370  3 S 2.61-2.69, 2 P 2.63, 1 Ga 2.69
Sc: 0.3315 0.9114 0.6630  3 S 2.61-2.69, 2 P 2.63, 1 Ga 2.69
Sc: 0.0003 0.2595 0.0006  3 S 2.60-2.68, 1 P 2.64, 2 Ga 2.70

Results
- Total magnetic moment: 0.0 μB/cell
- Symmetry: No. 12
- DFT total energy: -82.66 eV/cell
- Formation energy from raw total energies: -1537 meV/atom



[4]
Entry from the Alexandria database: an optimized crystal structure of Ca2Mg3Cd6 (PBE).

abc: 4.5904 8.3556 8.3556
angles: 110.62 90.00 90.00
Closest atoms and distances in Å follow each position.
Atoms (fractional coordinates):
Cd: 0.5000 0.3316 0.9885  3 Cd 2.75-3.05, 1 Mg 2.81
Ca: 0.0000 0.3370 0.6630  8 Cd 3.49-3.57, 2 Mg 3.74
Mg: 0.0000 0.8151 0.8151  2 Cd 2.81, 2 Mg 2.89
Cd: 0.5000 0.9885 0.3316  3 Cd 2.75-3.05, 1 Mg 2.81
Cd: 0.5000 0.0115 0.6684  3 Cd 2.75-3.05, 1 Mg 2.81
Mg: 0.0000 0.1849 0.1849  2 Cd 2.81, 2 Mg 2.89
Ca: 0.0000 0.6630 0.3370  8 Cd 3.49-3.57, 2 Mg 3.74
Mg: 0.5000 0.0000 0.0000  4 Cd 2.81, 4 Mg 2.89
Cd: 0.5000 0.6448 0.6448  3 Cd 2.75-3.00, 2 Mg 2.81
Cd: 0.5000 0.3552 0.3552  3 Cd 2.75-3.00, 2 Mg 2.81
Cd: 0.5000 0.6684 0.0115  3 Cd 2.75-3.05, 1 Mg 2.81

Results
- Total magnetic moment: 0.0 μB/cell
- Symmetry: No. 65
- DFT total energy: -15.13 eV/cell
- Energy of formation from the pure elements: -0.077 eV/atom